(1)
## LaNbN2O (GGA-PBE)

Data for an optimized crystal structure of LaNbN2O.

Output
Spin magnetization: 0.00 μB/cell
Energy: -91.23 eV/cell

Structure (CIF):
```
data_LaNbN2O
_cell_length_a 5.850
_cell_length_b 3.910
_cell_length_c 8.129
_cell_angle_alpha 90.00
_cell_angle_beta 109.71
_cell_angle_gamma 90.00
_symmetry_space_group_name_H-M 'P 1 21/m 1'
_symmetry_Int_Tables_number 11
_symmetry_space_group_name_Hall '-P 2yb'
loop_
_atom_site_label
_atom_site_type_symbol
_atom_site_fract_x
_atom_site_fract_y
_atom_site_fract_z
La1 La 0.227 0.250 0.180
Nb1 Nb 0.141 0.250 0.666
N1 N 0.013 0.750 0.614
N2 N 0.039 0.250 0.868
O1 O 0.486 0.250 0.740
```

***

(2)
## LaNbN2O (GGA-PBE)

Data for an optimized crystal structure of LaNbN2O.

Output
Spin magnetization: 0.00 μB/cell
Energy: -182.91 eV/cell

Structure (CIF):
```
data_LaNbN2O
_cell_length_a 5.735
_cell_length_b 5.743
_cell_length_c 9.913
_cell_angle_alpha 73.58
_cell_angle_beta 73.61
_cell_angle_gamma 60.70
_symmetry_space_group_name_H-M 'P 1'
_symmetry_Int_Tables_number 1
_symmetry_space_group_name_Hall 'P 1'
loop_
_atom_site_label
_atom_site_type_symbol
_atom_site_fract_x
_atom_site_fract_y
_atom_site_fract_z
La1 La 0.000 0.000 0.000
La2 La 0.227 0.275 0.250
La3 La 0.494 0.501 0.504
La4 La 0.723 0.772 0.756
Nb1 Nb 0.096 0.159 0.628
Nb2 Nb 0.350 0.404 0.867
Nb3 Nb 0.631 0.626 0.134
Nb4 Nb 0.839 0.891 0.382
N1 N 0.005 0.525 0.019
N2 N 0.157 0.330 0.750
N3 N 0.272 0.763 0.766
N4 N 0.525 0.015 0.524
N5 N 0.654 0.838 0.247
N6 N 0.723 0.212 0.726
N7 N 0.757 0.279 0.273
N8 N 0.982 0.473 0.469
O1 O 0.099 0.912 0.483
O2 O 0.214 0.726 0.210
O3 O 0.456 0.960 0.972
O4 O 0.575 0.391 0.003
```

***

(3)
## LaNbN2O (GGA-PBE)

Data for an optimized crystal structure of LaNbN2O.

Output
Spin magnetization: 0.00 μB/cell
Energy: -90.60 eV/cell

Structure (CIF):
```
data_LaNbN2O
_cell_length_a 5.778
_cell_length_b 3.975
_cell_length_c 5.887
_cell_angle_alpha 90.00
_cell_angle_beta 90.00
_cell_angle_gamma 90.00
_symmetry_space_group_name_H-M 'P m m a'
_symmetry_Int_Tables_number 51
_symmetry_space_group_name_Hall '-P 2a 2a'
loop_
_atom_site_label
_atom_site_type_symbol
_atom_site_fract_x
_atom_site_fract_y
_atom_site_fract_z
La1 La 0.250 0.000 0.213
Nb1 Nb 0.250 0.500 0.727
N1 N 0.000 0.500 0.500
N2 N 0.250 0.000 0.798
O1 O 0.000 0.500 0.000
```

***

Question: Which value of energy does entry 2 give?
Answer: -182.91 eV/cell

***

Question: Which of these has the lowest energy?
Answer: number 2

***

Question: What is the energy in the third record?
Answer: -90.60 eV/cell

***

Question: Among the records above, which one has the highest energy?
Answer: number 3